(1)
# BeFe3Si (GGA-PBE, optimized geometry)
data_BeFe3Si
_cell_length_a 3.8467
_cell_length_b 3.8467
_cell_length_c 3.8467
_cell_angle_alpha 90.00
_cell_angle_beta 90.00
_cell_angle_gamma 90.00
_space_group_name_H-M_alt 'P m -3 m'
_space_group_IT_number 221
_space_group_name_Hall '-P 4 2 3'
loop_
_atom_site_label
_atom_site_fract_x
_atom_site_fract_y
_atom_site_fract_z
Be1 0.0000 0.0000 0.0000
Fe1 0.0000 0.0000 0.5000
Si1 0.5000 0.5000 0.5000
# * polymorph energy (0 for the lowest one): 0.45 eV/f.u.
# * raw formation energy: 0.423 eV/atom
# * density of states at the Fermi level: 0.9129 states/eV/atom
# * M_tot: 0.880 μB per atom

***

(2)
# BeFe2Si (GGA-PBE, optimized geometry)
data_BeFe2Si
_cell_length_a 8.3698
_cell_length_b 2.6172
_cell_length_c 3.8949
_cell_angle_alpha 90.00
_cell_angle_beta 109.49
_cell_angle_gamma 90.00
_space_group_name_H-M_alt 'C 1 m 1'
_space_group_IT_number 8
loop_
_space_group_symop_operation_xyz
'x,y,z'
'x,-y,z'
'x+1/2,y+1/2,z'
'x+1/2,-y+1/2,z'
loop_
_atom_site_label
_atom_site_fract_x
_atom_site_fract_y
_atom_site_fract_z
Be1 0.0000 0.0000 0.0000
Fe1 0.0072 0.5000 0.5075
Fe2 0.2569 0.0000 0.8503
Si1 0.2568 0.5000 0.3410
# * raw formation energy: -0.240 eV/atom
# * density of states at the Fermi level: 0.8607 states/eV/atom
# * M_tot: 0.335 μB per atom

***

(3)
# Be3Fe3Si (GGA-PBE, optimized geometry)
data_Be3Fe3Si
_cell_length_a 7.5457
_cell_length_b 7.6099
_cell_length_c 4.9612
_cell_angle_alpha 90.00
_cell_angle_beta 90.00
_cell_angle_gamma 90.00
_space_group_name_H-M_alt 'C m m m'
_space_group_IT_number 65
_space_group_name_Hall '-C 2 2'
loop_
_atom_site_label
_atom_site_fract_x
_atom_site_fract_y
_atom_site_fract_z
Be1 0.0000 0.2255 0.0000
Be2 0.0000 0.2379 0.5000
Be3 0.2207 0.0000 0.0000
Fe1 0.0000 0.5000 0.2311
Fe2 0.2500 0.2500 0.2402
Si1 0.2288 0.0000 0.5000
# * raw formation energy: -0.170 eV/atom
# * density of states at the Fermi level: 0.6890 states/eV/atom
# * M_tot: 0.515 μB per atom

***

(4)
# BeFe2Si (GGA-PBE, optimized geometry)
data_BeFe2Si
_cell_length_a 3.4497
_cell_length_b 3.4497
_cell_length_c 15.4321
_cell_angle_alpha 90.00
_cell_angle_beta 90.00
_cell_angle_gamma 90.00
_space_group_name_H-M_alt 'I -4 2 d'
_space_group_IT_number 122
_space_group_name_Hall 'I -4 2bw'
loop_
_atom_site_label
_atom_site_fract_x
_atom_site_fract_y
_atom_site_fract_z
Be1 0.0000 0.0000 0.0000
Fe1 0.1858 0.2500 0.1250
Si1 0.0000 0.0000 0.5000
# * raw formation energy: 0.324 eV/atom
# * density of states at the Fermi level: 1.0540 states/eV/atom
# * M_tot: 0.000 μB per atom

***

(5)
# Be2FeSi (GGA-PBE, optimized geometry)
data_Be2FeSi
_cell_length_a 5.3456
_cell_length_b 5.3456
_cell_length_c 5.3456
_cell_angle_alpha 90.00
_cell_angle_beta 90.00
_cell_angle_gamma 90.00
_space_group_name_H-M_alt 'F -4 3 m'
_space_group_IT_number 216
_space_group_name_Hall 'F -4 2 3'
loop_
_atom_site_label
_atom_site_fract_x
_atom_site_fract_y
_atom_site_fract_z
Be1 0.0000 0.0000 0.0000
Be2 0.2500 0.2500 0.2500
Fe1 0.0000 0.0000 0.5000
Si1 0.2500 0.2500 0.7500
# * raw formation energy: -0.092 eV/atom
# * density of states at the Fermi level: 0.6948 states/eV/atom
# * M_tot: 0.064 μB per atom

***

(6)
# BeFeSi4 (GGA-PBE, optimized geometry)
data_BeFeSi4
_cell_length_a 6.8443
_cell_length_b 6.8443
_cell_length_c 6.8443
_cell_angle_alpha 90.00
_cell_angle_beta 90.00
_cell_angle_gamma 90.00
_space_group_name_H-M_alt 'F -4 3 m'
_space_group_IT_number 216
_space_group_name_Hall 'F -4 2 3'
loop_
_atom_site_label
_atom_site_fract_x
_atom_site_fract_y
_atom_site_fract_z
Be1 0.0000 0.0000 0.0000
Fe1 0.2500 0.2500 0.7500
Si1 0.1249 0.1249 0.3751
# * raw formation energy: 0.619 eV/atom
# * density of states at the Fermi level: 0.5024 states/eV/atom
# * M_tot: 0.461 μB per atom

***

(7)
# Be3Fe4Si (GGA-PBE, optimized geometry)
data_Be3Fe4Si
_cell_length_a 7.5671
_cell_length_b 5.2867
_cell_length_c 3.7854
_cell_angle_alpha 90.00
_cell_angle_beta 90.00
_cell_angle_gamma 90.00
_space_group_name_H-M_alt 'P m m a'
_space_group_IT_number 51
loop_
_space_group_symop_operation_xyz
'x,y,z'
'-x,-y,-z'
'-x+1/2,-y,z'
'x+1/2,y,-z'
'x+1/2,-y,-z'
'-x+1/2,y,z'
'-x,y,-z'
'x,-y,z'
loop_
_atom_site_label
_atom_site_fract_x
_atom_site_fract_y
_atom_site_fract_z
Be1 0.0000 0.0000 0.0000
Be2 0.2500 0.0000 0.4893
Be3 0.2500 0.5000 0.4894
Fe1 0.0000 0.2410 0.5000
Fe2 0.2500 0.2410 0.9910
Si1 0.0000 0.5000 0.0000
# * raw formation energy: -0.253 eV/atom
# * density of states at the Fermi level: 0.9692 states/eV/atom
# * M_tot: 0.561 μB per atom

***

(8)
# Be5Fe2Si2 (GGA-PBE, optimized geometry)
data_Be5Fe2Si2
_cell_length_a 3.9949
_cell_length_b 10.3243
_cell_length_c 8.3099
_cell_angle_alpha 90.00
_cell_angle_beta 90.00
_cell_angle_gamma 90.00
_space_group_name_H-M_alt 'I m m a'
_space_group_IT_number 74
_space_group_name_Hall '-I 2b 2'
loop_
_atom_site_label
_atom_site_fract_x
_atom_site_fract_y
_atom_site_fract_z
Be1 0.0000 0.1396 0.2007
Be2 0.0000 0.2500 0.6827
Be3 0.2500 0.0482 0.7500
Fe1 0.0000 0.1188 0.4646
Si1 0.0000 0.0000 0.0000
Si2 0.0000 0.2500 0.9563
# * raw formation energy: -0.009 eV/atom
# * density of states at the Fermi level: 0.5881 states/eV/atom
# * M_tot: 0.113 μB per atom